First-principles (PBE) data for a relaxed structure of AlTe2HI, as listed in the Alexandria database.

Summary:
total moment: 0.89 μB per cell
E above lowest polymorph: 0.244 eV per atom

a b c (Å): 5.3670 5.3670 5.7092
angles (deg): 90.00 90.00 90.00
With the nearest neighbours (Å) after each atom.
Space group P4/mmm (No. 123)
Asymmetric unit:
1 Al 0.0000 0.0000 0.0000 [1 per cell]  4 Te 2.68, 2 I 2.85
2 Te 0.0000 0.5000 0.0000 [2 per cell]  2 Al 2.68
3 H 0.5000 0.5000 0.5000 [1 per cell]  4 I 3.80, 8 Te 3.92
4 I 0.0000 0.0000 0.5000 [1 per cell]  2 Al 2.85